Below is CaMg2Rh after structural relaxation, with properties calculated at the GGA-PBE level.

abc: 3.3461 5.0323 10.4259
angles: 90.00 90.00 90.00
Last column: nearest neighbours and their distance in Å.
Space group Imm2 (No. 44)
Symmetry-distinct sites (fractional):
Ca1 0.0000 0.0000 0.0000 x2  2 Rh 2.81
Mg1 0.0000 0.0000 0.5949 x2  2 Rh 2.58
Mg2 0.0000 0.5000 0.7980 x2  4 Rh 3.03, 2 Ca 3.28, 4 Mg 3.29-3.35
Rh1 0.0000 0.5000 0.2829 x2  2 Mg 2.58, 2 Ca 2.81

Computed properties:
Its density of states at the Fermi level is 0.493 states/eV/atom. The total energy comes out at -3.304 eV/atom. The energy of formation from the pure elements is -0.67 eV per formula unit. Its crystal system is orthorhombic.